No. 1
PBE TmNpU2As4, relaxed; energy = -8.2072 eV per atom; energy relative to the elements = -0.884 eV/atom
1.0
-1.412 -3.659 -0.975
6.578 -2.715 0.665
-3.266 -0.394 6.210
Tm Np U As
1 1 2 4
Direct
0.500 0.500 0.000
0.000 0.000 0.000
0.500 0.000 0.500
0.000 0.500 0.500
0.500 0.253 0.250
0.500 0.747 0.750
0.000 0.253 0.750
0.000 0.747 0.250

---

No. 2
PBE Y2TmNpAs4, relaxed; energy = -7.4331 eV per atom; energy relative to the elements = -1.316 eV/atom
1.0
4.098 0.000 0.000
0.000 7.100 0.131
0.000 -2.474 6.663
Y Tm Np As
2 1 1 4
Direct
0.500 0.000 0.500
0.000 0.500 0.500
0.500 0.500 0.000
0.000 0.000 0.000
0.500 0.249 0.247
0.500 0.751 0.753
0.000 0.251 0.755
0.000 0.749 0.245

---

No. 3
PBE YTm2NpAs4, relaxed; energy = -7.1701 eV per atom; energy relative to the elements = -1.302 eV/atom
1.0
4.083 0.000 0.000
0.000 7.074 -0.147
0.000 2.483 6.632
Y Tm Np As
1 2 1 4
Direct
0.000 0.500 0.500
0.000 0.000 0.000
0.500 0.000 0.500
0.500 0.500 0.000
0.000 0.753 0.750
0.000 0.247 0.250
0.500 0.752 0.247
0.500 0.248 0.753

---

No. 4
PBE TmZr2NpAs4, relaxed; energy = -7.7615 eV per atom; energy relative to the elements = -1.123 eV/atom
1.0
-0.965 -1.929 3.317
4.709 -4.776 -1.407
2.900 5.014 3.760
Tm Zr Np As
1 2 1 4
Direct
0.000 0.000 0.000
0.500 0.000 0.500
0.000 0.500 0.500
0.500 0.500 0.000
0.500 0.252 0.260
0.500 0.748 0.740
0.000 0.245 0.739
0.000 0.755 0.261

---

No. 5
PBE NpUAs2, relaxed; relative energy among the computed polymorphs = 0.135 eV/atom; energy = -8.9551 eV per atom; energy relative to the elements = -0.573 eV/atom
1.0
3.975 0.000 0.000
1.988 3.443 0.000
1.988 1.148 7.228
Np U As
1 1 2
Direct
0.668 0.668 0.995
0.499 0.499 0.504
0.082 0.082 0.753
0.251 0.251 0.248

---

No. 6
PBE NpUAs2, relaxed; relative energy among the computed polymorphs = 0.000 eV/atom; energy = -9.0899 eV per atom; energy relative to the elements = -0.708 eV/atom
1.0
-1.120 1.591 -3.610
-3.967 0.156 -1.029
-2.189 6.629 1.272
Np As U
1 2 1
Direct
0.500 0.500 0.500
0.750 0.750 0.751
0.250 0.250 0.249
0.000 0.000 0.000

---

No. 7
PBE NpU2As3, relaxed; energy = -8.9535 eV per atom; energy relative to the elements = -0.709 eV/atom
1.0
-1.805 2.436 -2.771
-5.203 -1.779 1.824
3.378 4.228 4.561
Np U As
1 2 3
Direct
0.000 0.500 0.000
0.667 0.167 0.333
0.333 0.833 0.667
0.333 0.333 0.666
0.000 0.000 0.000
0.667 0.667 0.334

---

No. 8
PBE NpUAs2, relaxed; relative energy among the computed polymorphs = 0.006 eV/atom; energy = -9.0844 eV per atom; energy relative to the elements = -0.702 eV/atom
1.0
5.339 0.000 -2.255
-0.952 5.253 -2.255
-0.149 -0.179 7.094
Np U As
2 2 4
Direct
0.750 0.250 0.500
0.000 0.000 0.000
0.500 0.500 0.000
0.250 0.750 0.500
0.750 0.750 0.499
0.500 0.000 0.999
0.250 0.250 0.501
0.000 0.500 0.001

---

No. 9
PBE Np2UAs, relaxed; energy = -10.2186 eV per atom; energy relative to the elements = 0.236 eV/atom
1.0
2.879 0.000 0.000
1.440 2.493 0.000
1.440 0.831 11.197
Np As U
2 1 1
Direct
0.755 0.755 0.734
0.245 0.245 0.266
0.500 0.500 0.500
0.000 0.000 0.000

---

No. 10
PBE NpU2As, relaxed; relative energy among the computed polymorphs = 0.000 eV/atom; energy = -10.2641 eV per atom; energy relative to the elements = -0.222 eV/atom
1.0
-0.473 3.295 3.872
-4.949 -2.952 1.908
5.737 -4.948 7.227
Np U As
4 8 4
Direct
0.446 0.939 0.396
0.554 0.061 0.604
0.054 0.939 0.104
0.946 0.061 0.896
0.043 0.412 0.107
0.957 0.588 0.893
0.457 0.412 0.393
0.543 0.588 0.607
0.541 0.332 0.879
0.459 0.668 0.121
0.959 0.332 0.621
0.041 0.668 0.379
0.039 0.837 0.641
0.961 0.163 0.359
0.461 0.837 0.859
0.539 0.163 0.141

---

No. 11
PBE NpU3As2, relaxed; energy = -9.6448 eV per atom; energy relative to the elements = -0.294 eV/atom
1.0
7.568 0.936 -1.895
-4.207 5.930 -2.979
0.101 -1.724 6.073
Np U As
2 6 4
Direct
0.500 0.000 0.500
0.000 0.000 0.000
0.570 0.320 0.250
0.430 0.680 0.750
0.258 0.225 0.548
0.177 0.709 0.952
0.742 0.775 0.452
0.823 0.291 0.048
0.172 0.855 0.611
0.743 0.561 0.889
0.257 0.439 0.111
0.828 0.145 0.389

---

No. 12
PBE NpU2As, relaxed; relative energy among the computed polymorphs = 0.011 eV/atom; energy = -10.2531 eV per atom; energy relative to the elements = -0.211 eV/atom
1.0
-3.588 0.940 0.363
-1.880 -0.971 3.067
-0.021 5.737 4.067
Np U As
1 2 1
Direct
0.667 0.667 0.999
0.071 0.071 0.788
0.264 0.264 0.208
0.498 0.498 0.505

---

No. 13
PBE NpU5As6, relaxed; energy = -8.8011 eV per atom; energy relative to the elements = -0.695 eV/atom
1.0
-2.574 5.152 -3.919
4.757 -4.347 -2.646
-5.744 -4.430 0.012
Np As U
1 6 5
Direct
0.000 0.000 0.000
0.418 0.083 0.250
0.917 0.582 0.750
0.251 0.251 0.751
0.749 0.749 0.249
0.083 0.418 0.250
0.582 0.917 0.750
0.834 0.166 0.500
0.667 0.333 0.000
0.500 0.500 0.500
0.333 0.667 0.000
0.166 0.834 0.500

---

No. 14
PBE NpUAs2, relaxed; relative energy among the computed polymorphs = 0.136 eV/atom; energy = -8.9537 eV per atom; energy relative to the elements = -0.572 eV/atom
1.0
-0.790 2.661 -4.106
-4.267 2.453 -0.580
-0.063 4.950 0.229
Np As U
1 2 1
Direct
0.500 0.500 0.500
0.250 0.250 0.250
0.750 0.750 0.750
0.000 0.000 0.000

---

No. 15
PBE NpU3As4, relaxed; energy = -8.8861 eV per atom; energy relative to the elements = -0.711 eV/atom
1.0
5.783 0.000 0.000
0.000 5.783 0.000
0.000 0.000 5.783
Np As U
1 4 3
Direct
0.000 0.000 0.000
0.500 0.000 0.000
0.000 0.500 0.000
0.000 0.000 0.500
0.500 0.500 0.500
0.000 0.500 0.500
0.500 0.000 0.500
0.500 0.500 0.000

---

No. 16
PBE NpU3As3, relaxed; energy = -9.2198 eV per atom; energy relative to the elements = -0.541 eV/atom
1.0
8.541 0.000 0.000
0.000 8.541 0.000
0.000 0.000 8.541
Np U As
4 12 12
Direct
0.075 0.575 0.925
0.925 0.075 0.575
0.425 0.425 0.425
0.575 0.925 0.075
0.827 0.327 0.173
0.924 0.924 0.924
0.827 0.673 0.327
0.173 0.827 0.327
0.173 0.173 0.173
0.327 0.827 0.673
0.076 0.424 0.576
0.327 0.173 0.827
0.673 0.327 0.827
0.673 0.673 0.673
0.576 0.076 0.424
0.424 0.576 0.076
0.749 0.626 0.001
0.874 0.999 0.249
0.001 0.749 0.626
0.126 0.499 0.251
0.251 0.126 0.499
0.249 0.874 0.999
0.999 0.249 0.874
0.374 0.501 0.751
0.499 0.251 0.126
0.626 0.001 0.749
0.751 0.374 0.501
0.501 0.751 0.374

---

No. 17
PBE Np2U4As3, relaxed; energy = -9.7935 eV per atom; energy relative to the elements = -0.351 eV/atom
1.0
5.414 0.538 1.596
1.624 8.230 1.730
0.346 0.996 8.500
Np U As
4 8 6
Direct
0.436 0.239 0.489
0.064 0.511 0.761
0.564 0.761 0.511
0.936 0.489 0.239
0.416 0.931 0.238
0.084 0.762 0.069
0.584 0.069 0.762
0.916 0.238 0.931
0.120 0.173 0.387
0.380 0.613 0.827
0.880 0.827 0.613
0.620 0.387 0.173
0.849 0.017 0.270
0.651 0.730 0.983
0.151 0.983 0.730
0.349 0.270 0.017
0.250 0.610 0.390
0.750 0.390 0.610

---

No. 18
PBE NpUAs2, relaxed; relative energy among the computed polymorphs = 0.138 eV/atom; energy = -8.9523 eV per atom; energy relative to the elements = -0.570 eV/atom
1.0
3.510 0.000 0.000
0.000 4.950 0.000
0.000 0.000 4.950
Np As U
1 2 1
Direct
0.500 0.500 0.500
0.000 0.000 0.500
0.000 0.500 0.000
0.500 0.000 0.000

---

No. 19
PBE Np5U2As3, relaxed; energy = -10.2659 eV per atom; energy relative to the elements = -0.143 eV/atom
1.0
-5.014 -3.043 10.066
-9.392 -6.179 3.055
9.185 0.701 -7.131
Np U As
10 4 6
Direct
0.500 0.750 0.250
0.500 0.250 0.750
0.811 0.561 0.750
0.189 0.939 0.750
0.189 0.439 0.250
0.811 0.061 0.250
0.267 0.926 0.341
0.733 0.074 0.659
0.586 0.426 0.159
0.414 0.574 0.841
0.781 0.889 0.891
0.219 0.111 0.109
0.998 0.389 0.609
0.002 0.611 0.391
0.000 0.750 0.750
0.000 0.250 0.250
0.728 0.703 0.025
0.272 0.297 0.975
0.678 0.203 0.475
0.322 0.797 0.525

---

No. 20
PBE NpU2As, relaxed; relative energy among the computed polymorphs = 0.417 eV/atom; energy = -9.8472 eV per atom; energy relative to the elements = 0.194 eV/atom
1.0
2.976 0.000 0.000
1.488 2.577 0.000
1.488 0.859 10.718
Np As U
1 1 2
Direct
0.000 0.000 0.000
0.500 0.500 0.500
0.754 0.754 0.737
0.246 0.246 0.263